# AcZnH8Pd2 GGA-PBE relaxed
# DOS at the Fermi energy	5.085	states/eV per cell
# M_tot	0.000	μB per atom
# final energy	-0.1346	Ha/atom
data_AcZnH8Pd2
_chemical_formula_sum 'Ac2 Zn2 H16 Pd4'
_cell_length_a 5.200
_cell_length_b 5.163
_cell_length_c 9.535
_cell_angle_alpha 90.00
_cell_angle_beta 105.19
_cell_angle_gamma 90.00
_symmetry_space_group_name_H-M 'C 1 2/m 1'
_symmetry_Int_Tables_number 12
loop_
_symmetry_equiv_pos_as_xyz
'x,y,z'
'-x,-y,-z'
'-x,y,-z'
'x,-y,z'
'x+1/2,y+1/2,z'
'-x+1/2,-y+1/2,-z'
'-x+1/2,y+1/2,-z'
'x+1/2,-y+1/2,z'
loop_
_atom_site_label
_atom_site_type_symbol
_atom_site_fract_x
_atom_site_fract_y
_atom_site_fract_z
Ac1 Ac 0.000 0.000 0.000
Zn1 Zn 0.000 0.000 0.500
H1 H 0.038 0.500 0.080
H2 H 0.133 0.253 0.754
H3 H 0.170 0.500 0.454
Pd1 Pd 0.125 0.500 0.262